<1>
# SrReF2 PBE-GGA optimized geometry
# magnetization: 4.00 μB per cell
# DOS(E_F): 3.10 states/eV/f.u.
data_SrReF2
_cell_length_a 5.5692
_cell_length_b 5.5692
_cell_length_c 9.9667
_cell_angle_alpha 90.00
_cell_angle_beta 90.00
_cell_angle_gamma 90.00
_space_group_name_H-M_alt 'I -4 2 d'
_space_group_IT_number 122
_space_group_name_Hall 'I -4 2bw'
loop_
_atom_site_label
_atom_site_type_symbol
_atom_site_fract_x
_atom_site_fract_y
_atom_site_fract_z
Sr1 Sr 0.0000 0.0000 0.0000
Re1 Re 0.0000 0.0000 0.5000
F1 F 0.2472 0.2500 0.1250


<2>
# SrReF2 PBE-GGA optimized geometry
# magnetization: 0.00 μB per cell
# DOS(E_F): 3.41 states/eV/f.u.
data_SrReF2
_cell_length_a 3.9298
_cell_length_b 3.9298
_cell_length_c 16.2840
_cell_angle_alpha 90.00
_cell_angle_beta 90.00
_cell_angle_gamma 120.00
_space_group_name_H-M_alt 'R -3 m'
_space_group_IT_number 166
_space_group_name_Hall '-R 3 2"'
loop_
_atom_site_label
_atom_site_type_symbol
_atom_site_fract_x
_atom_site_fract_y
_atom_site_fract_z
Sr1 Sr 0.0000 0.0000 0.0000
Re1 Re 0.0000 0.0000 0.5000
F1 F 0.0000 0.0000 0.1457


<3>
# SrReF2 PBE-GGA optimized geometry
# magnetization: 0.00 μB per cell
# DOS(E_F): 2.64 states/eV/f.u.
data_SrReF2
_cell_length_a 2.9953
_cell_length_b 2.9953
_cell_length_c 23.2202
_cell_angle_alpha 90.00
_cell_angle_beta 90.00
_cell_angle_gamma 120.00
_space_group_name_H-M_alt 'R -3 m'
_space_group_IT_number 166
_space_group_name_Hall '-R 3 2"'
loop_
_atom_site_label
_atom_site_type_symbol
_atom_site_fract_x
_atom_site_fract_y
_atom_site_fract_z
Sr1 Sr 0.0000 0.0000 0.0000
Re1 Re 0.0000 0.0000 0.5000
F1 F 0.0000 0.0000 0.4088


Stability, highest: <3>


<1>
# Sr2Re2F PBE-GGA optimized geometry
# magnetization: 0.00 μB per cell
# DOS(E_F): 1.43 states/eV/f.u.
data_Sr2Re2F
_cell_length_a 3.6290
_cell_length_b 3.6290
_cell_length_c 17.4707
_cell_angle_alpha 90.00
_cell_angle_beta 90.00
_cell_angle_gamma 90.00
_space_group_name_H-M_alt 'I 4/m m m'
_space_group_IT_number 139
_space_group_name_Hall '-I 4 2'
loop_
_atom_site_label
_atom_site_type_symbol
_atom_site_fract_x
_atom_site_fract_y
_atom_site_fract_z
Sr1 Sr 0.0000 0.0000 0.1023
Re1 Re 0.0000 0.5000 0.2500
F1 F 0.0000 0.0000 0.5000


<2>
# Sr2Re2F PBE-GGA optimized geometry
# magnetization: 0.20 μB per cell
# DOS(E_F): 6.75 states/eV/f.u.
data_Sr2Re2F
_cell_length_a 8.9233
_cell_length_b 8.9233
_cell_length_c 3.3791
_cell_angle_alpha 90.00
_cell_angle_beta 90.00
_cell_angle_gamma 90.00
_space_group_name_H-M_alt 'P 4/m b m'
_space_group_IT_number 127
_space_group_name_Hall '-P 4 2ab'
loop_
_atom_site_label
_atom_site_type_symbol
_atom_site_fract_x
_atom_site_fract_y
_atom_site_fract_z
Sr1 Sr 0.1965 0.3035 0.0000
Re1 Re 0.0865 0.5865 0.5000
F1 F 0.0000 0.0000 0.0000


Stability, highest: <1>


<1>
# Sr2ReF PBE-GGA optimized geometry
# magnetization: 8.04 μB per cell
# DOS(E_F): 2.04 states/eV/f.u.
data_Sr2ReF
_cell_length_a 7.4121
_cell_length_b 7.4121
_cell_length_c 7.4121
_cell_angle_alpha 90.00
_cell_angle_beta 90.00
_cell_angle_gamma 90.00
_space_group_name_H-M_alt 'F m -3 m'
_space_group_IT_number 225
_space_group_name_Hall '-F 4 2 3'
loop_
_atom_site_label
_atom_site_type_symbol
_atom_site_fract_x
_atom_site_fract_y
_atom_site_fract_z
Sr1 Sr 0.2500 0.2500 0.2500
Re1 Re 0.0000 0.0000 0.0000
F1 F 0.0000 0.0000 0.5000


<2>
# Sr2ReF PBE-GGA optimized geometry
# magnetization: 10.15 μB per cell
# DOS(E_F): 4.70 states/eV/f.u.
data_Sr2ReF
_cell_length_a 7.3028
_cell_length_b 7.3028
_cell_length_c 8.1138
_cell_angle_alpha 90.00
_cell_angle_beta 90.00
_cell_angle_gamma 90.00
_space_group_name_H-M_alt 'I -4 2 d'
_space_group_IT_number 122
_space_group_name_Hall 'I -4 2bw'
loop_
_atom_site_label
_atom_site_type_symbol
_atom_site_fract_x
_atom_site_fract_y
_atom_site_fract_z
Sr1 Sr 0.1745 0.7500 0.1250
Re1 Re 0.0000 0.0000 0.5000
F1 F 0.0000 0.0000 0.0000


Stability, highest: <2>


<1>
# TaRe2F PBE-GGA optimized geometry
# magnetization: 0.00 μB per cell
# DOS(E_F): 2.64 states/eV/f.u.
data_TaRe2F
_cell_length_a 6.9225
_cell_length_b 6.9225
_cell_length_c 5.0093
_cell_angle_alpha 90.00
_cell_angle_beta 90.00
_cell_angle_gamma 90.00
_space_group_name_H-M_alt 'I -4 2 d'
_space_group_IT_number 122
_space_group_name_Hall 'I -4 2bw'
loop_
_atom_site_label
_atom_site_type_symbol
_atom_site_fract_x
_atom_site_fract_y
_atom_site_fract_z
Ta1 Ta 0.0000 0.0000 0.0000
Re1 Re 0.2002 0.2500 0.6250
F1 F 0.0000 0.0000 0.5000


<2>
# TaRe2F PBE-GGA optimized geometry
# magnetization: 0.00 μB per cell
# DOS(E_F): 2.96 states/eV/f.u.
data_TaRe2F
_cell_length_a 6.2504
_cell_length_b 6.2504
_cell_length_c 6.2504
_cell_angle_alpha 90.00
_cell_angle_beta 90.00
_cell_angle_gamma 90.00
_space_group_name_H-M_alt 'F m -3 m'
_space_group_IT_number 225
_space_group_name_Hall '-F 4 2 3'
loop_
_atom_site_label
_atom_site_type_symbol
_atom_site_fract_x
_atom_site_fract_y
_atom_site_fract_z
Ta1 Ta 0.0000 0.0000 0.0000
Re1 Re 0.2500 0.2500 0.2500
F1 F 0.0000 0.0000 0.5000


Stability, highest: <1>


<1>
# TaRe3F PBE-GGA optimized geometry
# magnetization: 0.00 μB per cell
# DOS(E_F): 7.99 states/eV/f.u.
data_TaRe3F
_cell_length_a 4.2144
_cell_length_b 4.2144
_cell_length_c 4.2144
_cell_angle_alpha 90.00
_cell_angle_beta 90.00
_cell_angle_gamma 90.00
_space_group_name_H-M_alt 'P m -3 m'
_space_group_IT_number 221
_space_group_name_Hall '-P 4 2 3'
loop_
_atom_site_label
_atom_site_type_symbol
_atom_site_fract_x
_atom_site_fract_y
_atom_site_fract_z
Ta1 Ta 0.0000 0.0000 0.0000
Re1 Re 0.0000 0.5000 0.5000
F1 F 0.5000 0.5000 0.5000


<2>
# TaRe3F PBE-GGA optimized geometry
# magnetization: 3.39 μB per cell
# DOS(E_F): 9.09 states/eV/f.u.
data_TaRe3F
_cell_length_a 4.8178
_cell_length_b 4.8178
_cell_length_c 4.8178
_cell_angle_alpha 90.00
_cell_angle_beta 90.00
_cell_angle_gamma 90.00
_space_group_name_H-M_alt 'P m -3 m'
_space_group_IT_number 221
_space_group_name_Hall '-P 4 2 3'
loop_
_atom_site_label
_atom_site_type_symbol
_atom_site_fract_x
_atom_site_fract_y
_atom_site_fract_z
Ta1 Ta 0.0000 0.0000 0.0000
Re1 Re 0.0000 0.0000 0.5000
F1 F 0.5000 0.5000 0.5000


Stability, highest: <1>


<1>
# TaReF3 PBE-GGA optimized geometry
# magnetization: 2.10 μB per cell
# DOS(E_F): 4.13 states/eV/f.u.
data_TaReF3
_cell_length_a 4.2500
_cell_length_b 4.2500
_cell_length_c 4.2500
_cell_angle_alpha 90.00
_cell_angle_beta 90.00
_cell_angle_gamma 90.00
_space_group_name_H-M_alt 'P m -3 m'
_space_group_IT_number 221
_space_group_name_Hall '-P 4 2 3'
loop_
_atom_site_label
_atom_site_type_symbol
_atom_site_fract_x
_atom_site_fract_y
_atom_site_fract_z
Ta1 Ta 0.0000 0.0000 0.0000
Re1 Re 0.5000 0.5000 0.5000
F1 F 0.0000 0.5000 0.5000


<2>
# TaReF3 PBE-GGA optimized geometry
# magnetization: 3.00 μB per cell
# DOS(E_F): 3.13 states/eV/f.u.
data_TaReF3
_cell_length_a 4.3005
_cell_length_b 4.3005
_cell_length_c 4.3005
_cell_angle_alpha 90.00
_cell_angle_beta 90.00
_cell_angle_gamma 90.00
_space_group_name_H-M_alt 'P m -3 m'
_space_group_IT_number 221
_space_group_name_Hall '-P 4 2 3'
loop_
_atom_site_label
_atom_site_type_symbol
_atom_site_fract_x
_atom_site_fract_y
_atom_site_fract_z
Ta1 Ta 0.0000 0.0000 0.0000
Re1 Re 0.5000 0.5000 0.5000
F1 F 0.0000 0.0000 0.5000


Stability, highest: <2>


<1>
# Ta2ReF PBE-GGA optimized geometry
# magnetization: 0.00 μB per cell
# DOS(E_F): 1.81 states/eV/f.u.
data_Ta2ReF
_cell_length_a 4.8510
_cell_length_b 4.8510
_cell_length_c 12.7144
_cell_angle_alpha 90.00
_cell_angle_beta 90.00
_cell_angle_gamma 90.00
_space_group_name_H-M_alt 'I -4 2 d'
_space_group_IT_number 122
_space_group_name_Hall 'I -4 2bw'
loop_
_atom_site_label
_atom_site_type_symbol
_atom_site_fract_x
_atom_site_fract_y
_atom_site_fract_z
Ta1 Ta 0.1786 0.2500 0.1250
Re1 Re 0.0000 0.0000 0.5000
F1 F 0.0000 0.0000 0.0000


<2>
# Ta2ReF PBE-GGA optimized geometry
# magnetization: 0.00 μB per cell
# DOS(E_F): 4.88 states/eV/f.u.
data_Ta2ReF
_cell_length_a 6.3233
_cell_length_b 6.3233
_cell_length_c 6.3233
_cell_angle_alpha 90.00
_cell_angle_beta 90.00
_cell_angle_gamma 90.00
_space_group_name_H-M_alt 'F m -3 m'
_space_group_IT_number 225
_space_group_name_Hall '-F 4 2 3'
loop_
_atom_site_label
_atom_site_type_symbol
_atom_site_fract_x
_atom_site_fract_y
_atom_site_fract_z
Ta1 Ta 0.2500 0.2500 0.2500
Re1 Re 0.0000 0.0000 0.0000
F1 F 0.0000 0.0000 0.5000


Stability, highest: <2>


<1>
# Re3TcF PBE-GGA optimized geometry
# magnetization: 3.68 μB per cell
# DOS(E_F): 4.46 states/eV/f.u.
data_Re3TcF
_cell_length_a 4.7150
_cell_length_b 4.7150
_cell_length_c 4.7150
_cell_angle_alpha 90.00
_cell_angle_beta 90.00
_cell_angle_gamma 90.00
_space_group_name_H-M_alt 'P m -3 m'
_space_group_IT_number 221
_space_group_name_Hall '-P 4 2 3'
loop_
_atom_site_label
_atom_site_type_symbol
_atom_site_fract_x
_atom_site_fract_y
_atom_site_fract_z
Re1 Re 0.0000 0.0000 0.5000
Tc1 Tc 0.0000 0.0000 0.0000
F1 F 0.5000 0.5000 0.5000


<2>
# Re3TcF PBE-GGA optimized geometry
# magnetization: 0.43 μB per cell
# DOS(E_F): 5.77 states/eV/f.u.
data_Re3TcF
_cell_length_a 4.1661
_cell_length_b 4.1661
_cell_length_c 4.1661
_cell_angle_alpha 90.00
_cell_angle_beta 90.00
_cell_angle_gamma 90.00
_space_group_name_H-M_alt 'P m -3 m'
_space_group_IT_number 221
_space_group_name_Hall '-P 4 2 3'
loop_
_atom_site_label
_atom_site_type_symbol
_atom_site_fract_x
_atom_site_fract_y
_atom_site_fract_z
Re1 Re 0.0000 0.0000 0.5000
Tc1 Tc 0.5000 0.5000 0.5000
F1 F 0.0000 0.0000 0.0000


Stability, highest: <2>


<1>
# ReTc2F PBE-GGA optimized geometry
# magnetization: 0.00 μB per cell
# DOS(E_F): 3.19 states/eV/f.u.
data_ReTc2F
_cell_length_a 6.3091
_cell_length_b 6.3091
_cell_length_c 5.7603
_cell_angle_alpha 90.00
_cell_angle_beta 90.00
_cell_angle_gamma 90.00
_space_group_name_H-M_alt 'I -4 2 d'
_space_group_IT_number 122
_space_group_name_Hall 'I -4 2bw'
loop_
_atom_site_label
_atom_site_type_symbol
_atom_site_fract_x
_atom_site_fract_y
_atom_site_fract_z
Re1 Re 0.0000 0.0000 0.0000
Tc1 Tc 0.2153 0.2500 0.6250
F1 F 0.0000 0.0000 0.5000


<2>
# ReTc2F PBE-GGA optimized geometry
# magnetization: 0.00 μB per cell
# DOS(E_F): 5.72 states/eV/f.u.
data_ReTc2F
_cell_length_a 6.0628
_cell_length_b 6.0628
_cell_length_c 6.0628
_cell_angle_alpha 90.00
_cell_angle_beta 90.00
_cell_angle_gamma 90.00
_space_group_name_H-M_alt 'F m -3 m'
_space_group_IT_number 225
_space_group_name_Hall '-F 4 2 3'
loop_
_atom_site_label
_atom_site_type_symbol
_atom_site_fract_x
_atom_site_fract_y
_atom_site_fract_z
Re1 Re 0.0000 0.0000 0.0000
Tc1 Tc 0.2500 0.2500 0.2500
F1 F 0.0000 0.0000 0.5000


Stability, highest: <2>


<1>
# ReTeF2 PBE-GGA optimized geometry
# magnetization: 12.06 μB per cell
# DOS(E_F): 0.79 states/eV/f.u.
data_ReTeF2
_cell_length_a 6.2822
_cell_length_b 6.2822
_cell_length_c 6.2822
_cell_angle_alpha 90.00
_cell_angle_beta 90.00
_cell_angle_gamma 90.00
_space_group_name_H-M_alt 'F m -3 m'
_space_group_IT_number 225
_space_group_name_Hall '-F 4 2 3'
loop_
_atom_site_label
_atom_site_type_symbol
_atom_site_fract_x
_atom_site_fract_y
_atom_site_fract_z
Re1 Re 0.0000 0.0000 0.0000
Te1 Te 0.0000 0.0000 0.5000
F1 F 0.2500 0.2500 0.2500


<2>
# ReTeF2 PBE-GGA optimized geometry
# magnetization: 0.00 μB per cell
# DOS(E_F): 2.83 states/eV/f.u.
data_ReTeF2
_cell_length_a 2.9154
_cell_length_b 2.9154
_cell_length_c 30.8697
_cell_angle_alpha 90.00
_cell_angle_beta 90.00
_cell_angle_gamma 120.00
_space_group_name_H-M_alt 'R -3 m'
_space_group_IT_number 166
_space_group_name_Hall '-R 3 2"'
loop_
_atom_site_label
_atom_site_type_symbol
_atom_site_fract_x
_atom_site_fract_y
_atom_site_fract_z
Re1 Re 0.0000 0.0000 0.0000
Te1 Te 0.0000 0.0000 0.5000
F1 F 0.0000 0.0000 0.0612


Stability, highest: <2>


<1>
# Re3TeF PBE-GGA optimized geometry
# magnetization: 4.07 μB per cell
# DOS(E_F): 6.00 states/eV/f.u.
data_Re3TeF
_cell_length_a 4.9159
_cell_length_b 4.9159
_cell_length_c 4.9159
_cell_angle_alpha 90.00
_cell_angle_beta 90.00
_cell_angle_gamma 90.00
_space_group_name_H-M_alt 'P m -3 m'
_space_group_IT_number 221
_space_group_name_Hall '-P 4 2 3'
loop_
_atom_site_label
_atom_site_type_symbol
_atom_site_fract_x
_atom_site_fract_y
_atom_site_fract_z
Re1 Re 0.0000 0.0000 0.5000
Te1 Te 0.0000 0.0000 0.0000
F1 F 0.5000 0.5000 0.5000


<2>
# Re3TeF PBE-GGA optimized geometry
# magnetization: 2.10 μB per cell
# DOS(E_F): 7.24 states/eV/f.u.
data_Re3TeF
_cell_length_a 4.3380
_cell_length_b 4.3380
_cell_length_c 4.3380
_cell_angle_alpha 90.00
_cell_angle_beta 90.00
_cell_angle_gamma 90.00
_space_group_name_H-M_alt 'P m -3 m'
_space_group_IT_number 221
_space_group_name_Hall '-P 4 2 3'
loop_
_atom_site_label
_atom_site_type_symbol
_atom_site_fract_x
_atom_site_fract_y
_atom_site_fract_z
Re1 Re 0.0000 0.0000 0.5000
Te1 Te 0.5000 0.5000 0.5000
F1 F 0.0000 0.0000 0.0000


Stability, highest: <2>


<1>
# Re2TeF PBE-GGA optimized geometry
# magnetization: 0.00 μB per cell
# DOS(E_F): 1.90 states/eV/f.u.
data_Re2TeF
_cell_length_a 4.1313
_cell_length_b 4.1313
_cell_length_c 16.5446
_cell_angle_alpha 90.00
_cell_angle_beta 90.00
_cell_angle_gamma 90.00
_space_group_name_H-M_alt 'I -4 2 d'
_space_group_IT_number 122
_space_group_name_Hall 'I -4 2bw'
loop_
_atom_site_label
_atom_site_type_symbol
_atom_site_fract_x
_atom_site_fract_y
_atom_site_fract_z
Re1 Re 0.1652 0.2500 0.1250
Te1 Te 0.0000 0.0000 0.5000
F1 F 0.0000 0.0000 0.0000


<2>
# Re2TeF PBE-GGA optimized geometry
# magnetization: 0.00 μB per cell
# DOS(E_F): 5.05 states/eV/f.u.
data_Re2TeF
_cell_length_a 6.2574
_cell_length_b 6.2574
_cell_length_c 6.2574
_cell_angle_alpha 90.00
_cell_angle_beta 90.00
_cell_angle_gamma 90.00
_space_group_name_H-M_alt 'F m -3 m'
_space_group_IT_number 225
_space_group_name_Hall '-F 4 2 3'
loop_
_atom_site_label
_atom_site_type_symbol
_atom_site_fract_x
_atom_site_fract_y
_atom_site_fract_z
Re1 Re 0.2500 0.2500 0.2500
Te1 Te 0.0000 0.0000 0.0000
F1 F 0.0000 0.0000 0.5000


Stability, highest: <1>